Entry from the Open Quantum Materials Database: a relaxed structure of InFe2As (PBE-GGA).

Output
The density is 8.561 g cm⁻³. Its space-group type is Pm-3m, No. 221. As for the total energy: -5.78 eV/atom.

```
16
Lattice="6.161 0.000 0.000 0.000 6.161 0.000 0.000 0.000 6.161" Properties=species:S:1:pos:R:3 pbc="T T T"
In 0.000 0.000 0.000
In 0.000 0.000 3.081
In 0.000 3.081 0.000
In 3.081 0.000 0.000
Fe 1.696 1.696 1.696
Fe 1.696 1.696 4.465
Fe 1.696 4.465 1.696
Fe 1.696 4.465 4.465
Fe 4.465 1.696 1.696
Fe 4.465 1.696 4.465
Fe 4.465 4.465 1.696
Fe 4.465 4.465 4.465
As 0.000 3.081 3.081
As 3.081 0.000 3.081
As 3.081 3.081 0.000
As 3.081 3.081 3.081
```